Entry 1
The following is a PBE calculation of crystalline YIBr at its relaxed geometry, from the Alexandria database.

Geometry as POSCAR:
```
YIBr
1.0
-2.188 -1.269 3.139
3.912 -5.741 0.407
6.331 -0.514 6.615
Y I Br
2 2 2
direct
0.749 0.736 0.502 Y
0.251 0.264 0.498 Y
0.126 0.418 0.766 I
0.874 0.582 0.234 I
0.651 0.947 0.714 Br
0.349 0.053 0.286 Br
```

Summary:
M_tot	0.00	μB per formula unit
Fermi-level density of states	2.12	states/eV/f.u.

Entry 2
The following is a PBE calculation of crystalline YIBr at its relaxed geometry, from the Alexandria database.

Geometry as POSCAR:
```
YIBr
1.0
5.157 -0.036 0.424
0.086 5.138 -0.610
2.248 0.902 7.904
Br I Y
2 2 2
direct
0.366 0.750 0.792 Br
0.634 0.250 0.208 Br
0.110 0.750 0.252 I
0.890 0.250 0.748 I
0.750 0.750 0.000 Y
0.250 0.250 0.000 Y
```

Summary:
M_tot	0.00	μB per formula unit
Fermi-level density of states	1.04	states/eV/f.u.

Entry 3
The following is a PBE calculation of crystalline YIBr at its relaxed geometry, from the Alexandria database.

Geometry as POSCAR:
```
YIBr
1.0
-2.695 2.985 0.218
-1.187 -3.822 0.452
1.194 0.524 7.564
I Y Br
1 1 1
direct
0.000 0.000 0.083 I
0.667 0.333 0.344 Y
0.333 0.667 0.573 Br
```

Summary:
M_tot	0.00	μB per formula unit
Fermi-level density of states	1.64	states/eV/f.u.

Most stable one: entry 1, least stable one: entry 2.

Entry 1
The following is a PBE calculation of crystalline YIBr at its relaxed geometry, from the Alexandria database.

Geometry as POSCAR:
```
YIBr
1.0
-2.772 1.316 2.637
-3.396 -5.977 -0.593
4.898 -3.230 5.400
I Y Br
2 2 2
direct
0.057 0.837 0.258 I
0.943 0.163 0.742 I
0.000 0.500 0.000 Y
0.500 0.000 0.000 Y
0.548 0.339 0.218 Br
0.452 0.661 0.782 Br
```

Summary:
M_tot	0.00	μB per formula unit
Fermi-level density of states	1.48	states/eV/f.u.

Entry 2
The following is a PBE calculation of crystalline YIBr at its relaxed geometry, from the Alexandria database.

Geometry as POSCAR:
```
YIBr
1.0
9.820 0.000 -0.047
0.000 3.794 0.000
-9.103 0.000 11.674
I Y Br
4 4 4
direct
0.110 0.000 0.107 I
0.110 0.500 0.607 I
0.606 0.000 0.683 I
0.606 0.500 0.183 I
0.818 0.000 0.135 Y
0.818 0.500 0.635 Y
0.889 0.000 0.394 Y
0.889 0.500 0.894 Y
0.063 0.000 0.829 Br
0.063 0.500 0.329 Br
0.643 0.000 0.441 Br
0.643 0.500 0.941 Br
```

Summary:
M_tot	0.34	μB per formula unit
Fermi-level density of states	0.81	states/eV/f.u.

Most stable one: entry 1, least stable one: entry 2.

Entry 1
The following is a PBE calculation of crystalline YI3Br at its relaxed geometry, from the Alexandria database.

Geometry as POSCAR:
```
YI3Br
1.0
5.927 0.000 0.000
0.000 5.927 0.000
0.000 0.000 5.927
I Y Br
3 1 1
direct
0.000 0.500 0.000 I
0.000 0.000 0.500 I
0.500 0.000 0.000 I
0.500 0.500 0.500 Y
0.000 0.000 0.000 Br
```

Summary:
M_tot	1.06	μB per formula unit
Fermi-level density of states	7.58	states/eV/f.u.

Entry 2
The following is a PBE calculation of crystalline YI3Br at its relaxed geometry, from the Alexandria database.

Geometry as POSCAR:
```
YI3Br
1.0
6.015 0.000 0.000
0.000 6.015 0.000
0.000 0.000 6.015
I Y Br
3 1 1
direct
0.000 0.500 0.000 I
0.000 0.000 0.500 I
0.500 0.000 0.000 I
0.000 0.000 0.000 Y
0.500 0.500 0.500 Br
```

Summary:
M_tot	1.00	μB per formula unit
Fermi-level density of states	9.30	states/eV/f.u.

Most stable one: entry 2, least stable one: entry 1.

Entry 1
The following is a PBE calculation of crystalline YIBr3 at its relaxed geometry, from the Alexandria database.

Geometry as POSCAR:
```
YIBr3
1.0
-0.559 -4.040 4.164
5.680 0.472 1.220
-1.183 4.175 3.892
I Y Br
1 1 3
direct
0.000 0.000 0.000 I
0.500 0.500 0.500 Y
0.000 0.500 0.000 Br
0.000 0.000 0.500 Br
0.500 0.000 0.000 Br
```

Summary:
M_tot	1.27	μB per formula unit
Fermi-level density of states	10.33	states/eV/f.u.

Entry 2
The following is a PBE calculation of crystalline YIBr3 at its relaxed geometry, from the Alexandria database.

Geometry as POSCAR:
```
YIBr3
1.0
5.637 0.000 0.000
0.000 5.637 0.000
0.000 0.000 5.637
I Y Br
1 1 3
direct
0.500 0.500 0.500 I
0.000 0.000 0.000 Y
0.000 0.500 0.000 Br
0.000 0.000 0.500 Br
0.500 0.000 0.000 Br
```

Summary:
M_tot	1.00	μB per formula unit
Fermi-level density of states	10.96	states/eV/f.u.

Most stable one: entry 2, least stable one: entry 1.

Entry 1
The following is a PBE calculation of crystalline Y2I2Br at its relaxed geometry, from the Alexandria database.

Geometry as POSCAR:
```
Y2I2Br
1.0
-1.351 0.745 3.719
-8.062 -2.434 -2.442
4.869 -10.163 1.625
Y I Br
4 4 2
direct
0.185 0.917 0.369 Y
0.815 0.083 0.631 Y
0.313 0.707 0.626 Y
0.687 0.293 0.374 Y
0.089 0.157 0.178 I
0.911 0.843 0.822 I
0.412 0.237 0.824 I
0.588 0.763 0.176 I
0.188 0.547 0.376 Br
0.812 0.453 0.624 Br
```

Summary:
M_tot	0.34	μB per formula unit
Fermi-level density of states	3.25	states/eV/f.u.

Entry 2
The following is a PBE calculation of crystalline Y2I2Br at its relaxed geometry, from the Alexandria database.

Geometry as POSCAR:
```
Y2I2Br
1.0
-5.820 1.351 -0.230
1.462 -6.261 3.956
1.512 7.249 4.306
Y I Br
4 4 2
direct
0.136 0.273 0.560 Y
0.864 0.727 0.440 Y
0.496 0.991 0.285 Y
0.504 0.009 0.715 Y
0.705 0.411 0.629 I
0.295 0.589 0.371 I
0.038 0.077 0.820 I
0.962 0.923 0.180 I
0.354 0.709 0.880 Br
0.646 0.291 0.120 Br
```

Summary:
M_tot	0.00	μB per formula unit
Fermi-level density of states	1.64	states/eV/f.u.

Most stable one: entry 1, least stable one: entry 2.

Entry 1
The following is a PBE calculation of crystalline Zn2IBr at its relaxed geometry, from the Alexandria database.

Geometry as POSCAR:
```
Zn2IBr
1.0
7.530 0.000 0.000
0.000 7.530 0.000
3.765 3.765 4.150
I Zn Br
2 4 2
direct
0.000 0.000 0.000 I
0.750 0.250 0.500 I
0.609 0.125 0.250 Zn
0.141 0.625 0.250 Zn
0.375 0.391 0.750 Zn
0.875 0.859 0.750 Zn
0.500 0.500 0.000 Br
0.250 0.750 0.500 Br
```

Summary:
M_tot	0.00	μB per formula unit
Fermi-level density of states	0.50	states/eV/f.u.

Entry 2
The following is a PBE calculation of crystalline Zn2IBr at its relaxed geometry, from the Alexandria database.

Geometry as POSCAR:
```
Zn2IBr
1.0
5.119 -0.643 0.590
1.836 -4.332 2.197
2.526 -3.504 -2.883
I Zn Br
1 2 1
direct
0.500 0.500 0.500 I
0.250 0.250 0.250 Zn
0.750 0.750 0.750 Zn
0.000 0.000 0.000 Br
```

Summary:
M_tot	0.00	μB per formula unit
Fermi-level density of states	1.62	states/eV/f.u.

Most stable one: entry 1, least stable one: entry 2.

Entry 1
The following is a PBE calculation of crystalline Zn2IBr2 at its relaxed geometry, from the Alexandria database.

Geometry as POSCAR:
```
Zn2IBr2
1.0
9.578 0.000 0.000
0.000 9.578 0.000
0.000 0.000 3.829
I Zn Br
2 4 4
direct
0.000 0.000 0.000 I
0.500 0.500 0.000 I
0.266 0.766 0.500 Zn
0.766 0.734 0.500 Zn
0.734 0.234 0.500 Zn
0.234 0.266 0.500 Zn
0.382 0.882 0.000 Br
0.882 0.618 0.000 Br
0.618 0.118 0.000 Br
0.118 0.382 0.000 Br
```

Summary:
M_tot	0.00	μB per formula unit
Fermi-level density of states	5.81	states/eV/f.u.

Entry 2
The following is a PBE calculation of crystalline Zn2IBr2 at its relaxed geometry, from the Alexandria database.

Geometry as POSCAR:
```
Zn2IBr2
1.0
-2.810 -4.080 0.376
3.001 -2.360 -3.179
3.242 -4.992 2.884
I Zn Br
1 2 2
direct
0.000 0.000 0.000 I
0.750 0.250 0.500 Zn
0.250 0.750 0.500 Zn
0.336 0.336 0.328 Br
0.664 0.664 0.672 Br
```

Summary:
M_tot	0.00	μB per formula unit
Fermi-level density of states	1.76	states/eV/f.u.

Most stable one: entry 2, least stable one: entry 1.

Entry 1
The following is a PBE calculation of crystalline ZrIBr2 at its relaxed geometry, from the Alexandria database.

Geometry as POSCAR:
```
ZrIBr2
1.0
2.020 0.000 12.146
-1.010 1.749 12.146
-1.010 -1.749 12.146
I Br Zr
1 2 1
direct
0.000 0.000 0.000 I
0.886 0.886 0.886 Br
0.114 0.114 0.114 Br
0.500 0.500 0.500 Zr
```

Summary:
M_tot	0.00	μB per formula unit
Fermi-level density of states	1.79	states/eV/f.u.

Entry 2
The following is a PBE calculation of crystalline ZrIBr2 at its relaxed geometry, from the Alexandria database.

Geometry as POSCAR:
```
ZrIBr2
1.0
-1.415 -1.634 -3.033
5.305 -1.715 -1.551
-1.508 -7.497 2.468
Zr I Br
1 1 2
direct
0.000 0.000 0.000 Zr
0.000 0.500 0.000 I
0.374 0.992 0.254 Br
0.626 0.008 0.746 Br
```

Summary:
M_tot	0.30	μB per formula unit
Fermi-level density of states	2.21	states/eV/f.u.

Entry 3
The following is a PBE calculation of crystalline ZrIBr2 at its relaxed geometry, from the Alexandria database.

Geometry as POSCAR:
```
ZrIBr2
1.0
-6.460 3.631 6.109
-4.416 -8.520 0.394
-3.726 -3.226 5.527
I Br Zr
2 4 2
direct
0.000 0.000 0.000 I
0.750 0.250 0.500 I
0.493 0.125 0.250 Br
0.257 0.625 0.250 Br
0.375 0.507 0.750 Br
0.875 0.743 0.750 Br
0.500 0.500 0.000 Zr
0.250 0.750 0.500 Zr
```

Summary:
M_tot	1.00	μB per formula unit
Fermi-level density of states	2.17	states/eV/f.u.

Most stable one: entry 2, least stable one: entry 1.

Entry 1
The following is a PBE calculation of crystalline ZrIBr3 at its relaxed geometry, from the Alexandria database.

Geometry as POSCAR:
```
ZrIBr3
1.0
7.426 -0.851 0.000
-1.069 7.455 0.000
0.000 0.000 8.306
Zr I Br
2 2 6
direct
0.471 0.012 0.250 Zr
0.529 0.988 0.750 Zr
0.169 0.712 0.250 I
0.831 0.288 0.750 I
0.692 0.904 0.458 Br
0.308 0.096 0.542 Br
0.692 0.904 0.042 Br
0.308 0.096 0.958 Br
0.612 0.355 0.250 Br
0.388 0.645 0.750 Br
```

Summary:
M_tot	0.00	μB per formula unit
Fermi-level density of states	0.00	states/eV/f.u.

Entry 2
The following is a PBE calculation of crystalline ZrIBr3 at its relaxed geometry, from the Alexandria database.

Geometry as POSCAR:
```
ZrIBr3
1.0
5.856 0.000 0.000
0.000 5.856 0.000
0.000 0.000 5.856
I Br Zr
1 3 1
direct
0.000 0.000 0.000 I
0.000 0.500 0.000 Br
0.000 0.000 0.500 Br
0.500 0.000 0.000 Br
0.500 0.500 0.500 Zr
```

Summary:
M_tot	2.70	μB per formula unit
Fermi-level density of states	6.79	states/eV/f.u.

Most stable one: entry 1, least stable one: entry 2.

Entry 1
The following is a PBE calculation of crystalline ZrI2Br at its relaxed geometry, from the Alexandria database.

Geometry as POSCAR:
```
ZrI2Br
1.0
0.000 3.795 3.795
3.795 0.000 3.795
3.795 3.795 0.000
I Br Zr
2 1 1
direct
0.250 0.250 0.250 I
0.750 0.750 0.750 I
0.000 0.000 0.000 Br
0.500 0.500 0.500 Zr
```

Summary:
M_tot	1.00	μB per formula unit
Fermi-level density of states	2.68	states/eV/f.u.

Entry 2
The following is a PBE calculation of crystalline ZrI2Br at its relaxed geometry, from the Alexandria database.

Geometry as POSCAR:
```
ZrI2Br
1.0
10.621 0.000 0.000
0.000 10.621 0.000
5.310 5.310 2.717
I Br Zr
4 2 2
direct
0.770 0.125 0.250 I
0.980 0.625 0.250 I
0.375 0.230 0.750 I
0.875 0.020 0.750 I
0.500 0.500 0.000 Br
0.250 0.750 0.500 Br
0.000 0.000 0.000 Zr
0.750 0.250 0.500 Zr
```

Summary:
M_tot	1.00	μB per formula unit
Fermi-level density of states	2.47	states/eV/f.u.

Entry 3
The following is a PBE calculation of crystalline ZrI2Br at its relaxed geometry, from the Alexandria database.

Geometry as POSCAR:
```
ZrI2Br
1.0
3.632 0.000 -0.001
1.815 7.312 0.483
1.815 3.029 6.673
Zr I Br
1 2 1
direct
0.750 0.885 0.615 Zr
0.096 0.881 0.926 I
0.404 0.574 0.619 I
0.250 0.160 0.340 Br
```

Summary:
M_tot	0.37	μB per formula unit
Fermi-level density of states	1.79	states/eV/f.u.

Most stable one: entry 3, least stable one: entry 1.

Entry 1
The following is a PBE calculation of crystalline Zr2IBr at its relaxed geometry, from the Alexandria database.

Geometry as POSCAR:
```
Zr2IBr
1.0
7.804 0.000 0.000
0.000 7.804 0.000
3.902 3.902 3.351
I Br Zr
2 2 4
direct
0.000 0.000 0.000 I
0.750 0.250 0.500 I
0.500 0.500 0.000 Br
0.250 0.750 0.500 Br
0.583 0.125 0.250 Zr
0.167 0.625 0.250 Zr
0.375 0.417 0.750 Zr
0.875 0.833 0.750 Zr
```

Summary:
M_tot	0.00	μB per formula unit
Fermi-level density of states	4.98	states/eV/f.u.

Entry 2
The following is a PBE calculation of crystalline Zr2IBr at its relaxed geometry, from the Alexandria database.

Geometry as POSCAR:
```
Zr2IBr
1.0
-0.031 -4.729 -1.615
-4.095 -1.873 -2.168
-0.012 -0.966 -4.903
I Br Zr
1 1 2
direct
0.500 0.500 0.500 I
0.000 0.000 0.000 Br
0.250 0.250 0.250 Zr
0.750 0.750 0.750 Zr
```

Summary:
M_tot	1.47	μB per formula unit
Fermi-level density of states	4.13	states/eV/f.u.

Most stable one: entry 2, least stable one: entry 1.